A crystal of LaTlNi relaxed with PBEsol, computed with SCAN.

Cell and atoms, written as extended XYZ:
```
3
Lattice="-2.7611 2.0985 3.1311 -0.5067 -1.8330 4.2679 1.8760 2.1462 3.7021" Properties=species:S:1:pos:R:3 pbc="T T T"
La -0.6959 1.2058 5.5506
Ni -0.3480 0.6029 2.7753
Tl 0.0000 0.0000 0.0000
```

## Properties
Formation energy, eV/atom: -0.296
Energy, eV per atom: -44.175
DOS(E_F), states/eV/f.u.: 4.55
SG: F-43m